Computed, not measured: a geometry-optimized Pm2NpIr3 structure at the PBE level of DFT.

Cell: 12.3575 5.6779 8.3136 Å, 90.00 109.89 90.00°
Last column: nearest neighbours and their distance in Å.
Space group C2/c (No. 15)
One atom of each set of equivalent atoms:
1 Pm 0.1822 0.0284 0.0834 [8 per cell]  6 Ir 2.86-3.14
2 Np 0.0000 0.3554 0.2500 [4 per cell]  6 Ir 2.68-2.94
3 Ir 0.0000 0.1272 0.7500 [4 per cell]  2 Np 2.74-2.94, 2 Pm 2.97
4 Ir 0.1252 0.4601 0.5746 [8 per cell]  2 Np 2.68, 2 Pm 2.86-2.98, 1 Ir 2.95

***

Computed, not measured: a geometry-optimized Pm4NpIr3 structure at the PBE level of DFT.

Cell: 11.3666 11.3666 5.9284 Å, 90.00 90.00 90.00°
Last column: nearest neighbours and their distance in Å.
Space group I4/mcm (No. 140)
One atom of each set of equivalent atoms:
1 Pm 0.0849 0.2120 0.0000 [16 per cell]  4 Ir 2.99-3.11, 1 Pm 3.26
2 Np 0.0000 0.5000 0.2500 [4 per cell]  4 Ir 2.81, 2 Np 2.96
3 Ir 0.0000 0.0000 0.2500 [4 per cell]  2 Ir 2.96, 8 Pm 2.99
4 Ir 0.1485 0.3515 0.5000 [8 per cell]  2 Np 2.81, 4 Pm 3.09-3.11

***

Computed, not measured: a geometry-optimized Pm3NpIr8 structure at the PBE level of DFT.

Cell: 5.4053 5.4053 26.4408 Å, 90.00 90.00 120.00°
Last column: nearest neighbours and their distance in Å.
Space group R3m (No. 160, hexagonal axes)
One atom of each set of equivalent atoms:
1 Pm 0.0000 0.0000 0.0000 [3 per cell]  12 Ir 3.17-3.19, 4 Pm 3.31
2 Pm 0.0000 0.0000 0.1253 [3 per cell]  12 Ir 3.13-3.17, 1 Pm 3.31, 3 Np 3.32
3 Pm 0.0000 0.0000 0.6255 [3 per cell]  12 Ir 3.17-3.20, 1 Np 3.29, 3 Pm 3.31
4 Np 0.0000 0.0000 0.5009 [3 per cell]  12 Ir 3.14-3.17, 4 Pm 3.29-3.32
5 Ir 0.0000 0.0000 0.3130 [3 per cell]  6 Ir 2.72
6 Ir 0.0000 0.0000 0.8130 [3 per cell]  6 Ir 2.68
7 Ir 0.0027 0.5013 0.0641 [9 per cell]  6 Ir 2.68-2.72
8 Ir 0.1678 0.3357 0.8950 [9 per cell]  6 Ir 2.68-2.72

***

Computed, not measured: a geometry-optimized Pm5NpIr4 structure at the PBE level of DFT.

Cell: 15.8469 4.6051 7.1402 Å, 90.00 100.37 90.00°
Last column: nearest neighbours and their distance in Å.
Space group C2/m (No. 12)
One atom of each set of equivalent atoms:
1 Pm 0.0000 0.0000 0.0000 [2 per cell]  6 Ir 3.04-3.05
2 Pm 0.1675 0.5000 0.0515 [4 per cell]  4 Ir 2.93-3.26
3 Pm 0.1681 0.5000 0.5537 [4 per cell]  4 Ir 2.87-3.17
4 Np 0.0000 0.0000 0.5000 [2 per cell]  6 Ir 2.80-2.83
5 Ir 0.0043 0.5000 0.2786 [4 per cell]  2 Np 2.80, 3 Pm 2.96-3.04
6 Ir 0.1495 0.0000 0.7834 [4 per cell]  1 Np 2.83, 6 Pm 2.87-3.05

***

Computed, not measured: a geometry-optimized PmNpIrPt structure at the PBE level of DFT.

Cell: 7.0065 7.0065 7.0065 Å, 90.00 90.00 90.00°
Last column: nearest neighbours and their distance in Å.
Space group F-43m (No. 216)
One atom of each set of equivalent atoms:
1 Pm 0.0000 0.0000 0.0000 [4 per cell]  4 Pt 3.03, 4 Ir 3.03
2 Np 0.0000 0.0000 0.5000 [4 per cell]  4 Ir 3.03, 4 Pt 3.03
3 Ir 0.2500 0.2500 0.2500 [4 per cell]  4 Pm 3.03, 4 Np 3.03
4 Pt 0.2500 0.2500 0.7500 [4 per cell]  4 Pm 3.03, 4 Np 3.03

***

Computed, not measured: a geometry-optimized PmNpIrRh structure at the PBE level of DFT.

Cell: 6.9280 6.9280 6.9280 Å, 90.00 90.00 90.00°
Last column: nearest neighbours and their distance in Å.
Space group F-43m (No. 216)
One atom of each set of equivalent atoms:
1 Pm 0.0000 0.0000 0.0000 [4 per cell]  4 Ir 3.00, 4 Rh 3.00
2 Np 0.0000 0.0000 0.5000 [4 per cell]  4 Ir 3.00, 4 Rh 3.00
3 Ir 0.2500 0.2500 0.2500 [4 per cell]  4 Pm 3.00, 4 Np 3.00
4 Rh 0.2500 0.2500 0.7500 [4 per cell]  4 Pm 3.00, 4 Np 3.00

***

Computed, not measured: a geometry-optimized PmNpIrRu structure at the PBE level of DFT.

Cell: 6.8929 6.8929 6.8929 Å, 90.00 90.00 90.00°
Last column: nearest neighbours and their distance in Å.
Space group F-43m (No. 216)
One atom of each set of equivalent atoms:
1 Pm 0.0000 0.0000 0.0000 [4 per cell]  4 Ru 2.98, 4 Ir 2.98
2 Np 0.0000 0.0000 0.5000 [4 per cell]  4 Ru 2.98, 4 Ir 2.98
3 Ir 0.2500 0.2500 0.2500 [4 per cell]  4 Pm 2.98, 4 Np 2.98
4 Ru 0.2500 0.2500 0.7500 [4 per cell]  4 Pm 2.98, 4 Np 2.98

***

Computed, not measured: a geometry-optimized PmNpZnIr structure at the PBE level of DFT.

Cell: 7.0536 7.0536 7.0536 Å, 90.00 90.00 90.00°
Last column: nearest neighbours and their distance in Å.
Space group F-43m (No. 216)
One atom of each set of equivalent atoms:
1 Pm 0.0000 0.0000 0.0000 [4 per cell]  4 Zn 3.05, 4 Ir 3.05
2 Np 0.0000 0.0000 0.5000 [4 per cell]  4 Ir 3.05, 4 Zn 3.05
3 Zn 0.2500 0.2500 0.7500 [4 per cell]  4 Pm 3.05, 4 Np 3.05
4 Ir 0.2500 0.2500 0.2500 [4 per cell]  4 Pm 3.05, 4 Np 3.05

***

| no. | calculated formation energy (kcal/mol of atoms) | mass density (g/cm3) | calculated volume (Å³ per cell) |
| --- | --- | --- | --- |
| 1 | -8.58 | 13.36 | 548.53 |
| 2 | -12.24 | 12.09 | 765.96 |
| 3 | -14.69 | 16.45 | 669.03 |
| 4 | -11.79 | 11.22 | 512.55 |
| 5 | -12.35 | 14.86 | 343.96 |
| 6 | -9.35 | 13.53 | 332.52 |
| 7 | -4.73 | 13.70 | 327.50 |
| 8 | -3.95 | 12.11 | 350.94 |